[1]
This record from OQMD via LeMat-Bulk describes GdPbAuSeS2 after structural relaxation. The functional is PBE.

```
GdPbAuSeS2
1.0
2.032 -6.711 0.000
2.032 6.711 0.000
0.000 0.000 10.845
Gd Pb Au Se S
2 2 2 2 4
Direct
0.000 0.000 0.000
0.000 0.000 0.500
0.241 0.759 0.750
0.759 0.241 0.250
0.444 0.556 0.250
0.556 0.444 0.750
0.090 0.910 0.250
0.910 0.090 0.750
0.363 0.637 0.049
0.363 0.637 0.451
0.637 0.363 0.549
0.637 0.363 0.951
```

Properties
The calculation puts the spin magnetization at 0.0 μB/f.u. For the energy, the calculation gives -4.85 eV per atom.


[2]
This record from OQMD via LeMat-Bulk describes MgBeAlNi after structural relaxation. The functional is PBE.

```
MgBeAlNi
1.0
0.000 2.950 2.950
2.950 0.000 2.950
2.950 2.950 0.000
Mg Be Al Ni
1 1 1 1
Direct
0.000 0.000 0.000
0.750 0.750 0.750
0.250 0.250 0.250
0.500 0.500 0.500
```

Properties
The energy above the most stable polymorph in this dataset comes out at 66 meV/atom. The calculation puts the spin magnetization at 0.0 μB/f.u.


[3]
This record from OQMD via LeMat-Bulk describes Rb3TaS4 after structural relaxation. The functional is PBE.

```
Rb3TaS4
1.0
9.673 0.000 0.000
0.000 11.208 0.000
0.000 0.000 9.761
Rb Ta S
12 4 16
Direct
0.051 0.043 0.211
0.051 0.457 0.211
0.144 0.750 0.417
0.356 0.250 0.917
0.449 0.543 0.711
0.449 0.957 0.711
0.551 0.043 0.289
0.551 0.457 0.289
0.644 0.750 0.083
0.856 0.250 0.583
0.949 0.543 0.789
0.949 0.957 0.789
0.219 0.750 0.986
0.281 0.250 0.486
0.719 0.750 0.514
0.781 0.250 0.014
0.001 0.750 0.079
0.167 0.081 0.552
0.167 0.419 0.552
0.201 0.750 0.752
0.299 0.250 0.252
0.333 0.581 0.052
0.333 0.919 0.052
0.499 0.250 0.579
0.501 0.750 0.421
0.667 0.081 0.948
0.667 0.419 0.948
0.701 0.750 0.748
0.799 0.250 0.248
0.833 0.581 0.448
0.833 0.919 0.448
0.999 0.250 0.921
```

Properties
The calculation puts the spin magnetization at 0.0 μB/f.u. For the energy, the calculation gives -5.19 eV per atom.


[4]
This record from OQMD via LeMat-Bulk describes DyCuTe3Pb after structural relaxation. The functional is PBE.

```
DyCuTe3Pb
1.0
2.140 -7.305 0.000
2.140 7.305 0.000
0.000 0.000 11.242
Dy Cu Te Pb
2 2 6 2
Direct
0.000 0.000 0.000
0.000 0.000 0.500
0.468 0.532 0.750
0.532 0.468 0.250
0.081 0.919 0.750
0.356 0.644 0.564
0.356 0.644 0.936
0.644 0.356 0.064
0.644 0.356 0.436
0.919 0.081 0.250
0.239 0.761 0.250
0.761 0.239 0.750
```

Properties
The energy above the most stable polymorph in this dataset comes out at 3 meV/atom. The calculation puts the spin magnetization at 0.0 μB/f.u.


[5]
This record from OQMD via LeMat-Bulk describes Hf2ZnNi after structural relaxation. The functional is PBE.

```
Hf2ZnNi
1.0
0.000 3.244 3.244
3.244 0.000 3.244
3.244 3.244 0.000
Hf Zn Ni
2 1 1
Direct
0.000 0.000 0.000
0.250 0.250 0.250
0.750 0.750 0.750
0.500 0.500 0.500
```

Properties
The calculation puts the energy relative to the elements at 0.152 eV/atom. The calculation puts the spin magnetization at 1.9 μB/f.u.


[6]
This record from OQMD via LeMat-Bulk describes RbErPa after structural relaxation. The functional is PBE.

```
RbErPa
1.0
0.000 4.070 4.070
4.070 0.000 4.070
4.070 4.070 0.000
Rb Er Pa
1 1 1
Direct
0.000 0.000 0.000
0.750 0.750 0.750
0.500 0.500 0.500
```

Properties
The calculation puts the spin magnetization at 4.4 μB/f.u. For the energy, the calculation gives -3.16 eV per atom.


[7]
This record from OQMD via LeMat-Bulk describes Tb2UN4 after structural relaxation. The functional is PBE.

```
Tb2UN4
1.0
5.807 0.000 0.000
0.000 9.741 0.000
0.000 0.000 3.528
Tb U N
4 2 8
Direct
0.063 0.177 0.000
0.437 0.677 0.000
0.563 0.323 0.000
0.937 0.823 0.000
0.000 0.500 0.500
0.500 0.000 0.500
0.146 0.695 0.500
0.231 0.457 0.000
0.269 0.957 0.000
0.354 0.195 0.500
0.646 0.805 0.500
0.731 0.043 0.000
0.769 0.543 0.000
0.854 0.305 0.500
```

Properties
The calculation puts the spin magnetization at 0.0 μB/f.u. For the energy, the calculation gives -9.28 eV per atom.


[8]
This record from OQMD via LeMat-Bulk describes PmY2N3 after structural relaxation. The functional is PBE.

```
PmY2N3
1.0
3.506 0.000 0.000
-1.753 3.036 0.000
0.000 0.000 8.583
Pm Y N
1 2 3
Direct
0.000 0.000 0.000
0.333 0.667 0.337
0.667 0.333 0.663
0.000 0.000 0.500
0.333 0.667 0.826
0.667 0.333 0.174
```

Properties
The calculation puts the spin magnetization at 0.0 μB/f.u. For the energy, the calculation gives -8.71 eV per atom.


[9]
This record from OQMD via LeMat-Bulk describes NaNdAuSe3 after structural relaxation. The functional is PBE.

```
NaNdAuSe3
1.0
2.061 -7.029 0.000
2.061 7.029 0.000
0.000 0.000 10.931
Na Nd Au Se
2 2 2 6
Direct
0.234 0.766 0.750
0.766 0.234 0.250
0.000 0.000 0.000
0.000 0.000 0.500
0.476 0.524 0.250
0.524 0.476 0.750
0.094 0.906 0.250
0.357 0.643 0.068
0.357 0.643 0.432
0.643 0.357 0.568
0.643 0.357 0.932
0.906 0.094 0.750
```

Properties
The calculation puts the spin magnetization at 0.0 μB/f.u. For the energy, the calculation gives -4.33 eV per atom.


[10]
This record from OQMD via LeMat-Bulk describes NdMg2Al3Ge2Pt after structural relaxation. The functional is PBE.

```
NdMg2Al3Ge2Pt
1.0
4.200 0.000 0.000
0.000 5.971 3.421
0.000 -5.971 3.421
Nd Mg Al Ge Pt
1 2 3 2 1
Direct
0.000 0.000 0.000
0.000 0.423 0.831
0.000 0.831 0.423
0.500 0.194 0.429
0.500 0.429 0.194
0.500 0.663 0.663
0.500 0.109 0.756
0.500 0.756 0.109
0.000 0.445 0.445
```

Properties
The calculation puts the spin magnetization at 0.0 μB/f.u. For the energy, the calculation gives -4.44 eV per atom.


[11]
This record from OQMD via LeMat-Bulk describes Li2Sc2Sn2PdPt after structural relaxation. The functional is PBE.

```
Li2Sc2Sn2PdPt
1.0
4.607 0.000 0.000
0.000 4.607 0.000
0.000 0.000 6.519
Li Sc Sn Pd Pt
2 2 2 1 1
Direct
0.000 0.000 0.000
0.500 0.500 0.500
0.000 0.500 0.748
0.500 0.000 0.252
0.000 0.500 0.248
0.500 0.000 0.752
0.500 0.500 0.000
0.000 0.000 0.500
```

Properties
The calculation puts the spin magnetization at 0.0 μB/f.u. For the energy, the calculation gives -5.33 eV per atom.


[12]
This record from OQMD via LeMat-Bulk describes ThCoSi3 after structural relaxation. The functional is PBE.

```
ThCoSi3
1.0
-2.085 2.085 4.728
2.085 -2.085 4.728
2.085 2.085 -4.728
Th Co Si
1 1 3
Direct
0.000 0.000 0.000
0.341 0.341 0.000
0.242 0.742 0.500
0.581 0.581 0.000
0.742 0.242 0.500
```

Properties
The calculation puts the spin magnetization at 0.0 μB/f.u. For the energy, the calculation gives -6.86 eV per atom.


- What is the spin magnetization in the fifth record?
  1.9 μB/f.u.